1.
The following is a PBE calculation of a relaxed RbYC crystal, from the Alexandria database.

abc: 7.8389 7.8232 8.0085
angles: 90.00 90.00 90.00
Last column: nearest neighbours and their distance in Å.
Positions (direct):
C  0.0942  0.7500  0.9113  2 Y 2.21
C  0.4058  0.2500  0.4113  2 Y 2.21
C  0.5942  0.7500  0.5887  2 Y 2.21
C  0.9058  0.2500  0.0887  2 Y 2.21
Y  0.0000  0.5000  0.0000  2 C 2.21
Y  0.5000  0.0000  0.5000  2 C 2.21
Y  0.0000  0.0000  0.0000  2 C 2.21
Y  0.5000  0.5000  0.5000  2 C 2.21
Rb  0.9775  0.7500  0.5473  2 C 3.02-3.05
Rb  0.0225  0.2500  0.4527  2 C 3.02-3.05
Rb  0.5225  0.2500  0.0473  2 C 3.02-3.05
Rb  0.4775  0.7500  0.9527  2 C 3.02-3.05

Output
DFT formation energy: 319.6 kJ/mol of formula units
Distance to the lowest polymorph of the same formula: 25.738 kcal/mol of atoms
DOS(E_F): 14.0 states/eV per cell
Space group: Pnma (62)

---

2.
The following is a PBE calculation of a relaxed RbYC crystal, from the Alexandria database.

abc: 7.9044 3.9586 9.0064
angles: 102.67 122.93 90.00
Last column: nearest neighbours and their distance in Å.
Positions (direct):
Y  0.1861  0.1265  0.6428  1 C 2.36
Y  0.3034  0.8174  0.0253  1 C 2.36
Rb  0.8377  0.3638  0.1174  4 C 3.13-3.21
Rb  0.6518  0.5802  0.5507  4 C 3.13-3.21
C  0.6533  0.9373  0.2646  1 C 1.27
C  0.8362  0.0067  0.4035  1 C 1.27

Output
DFT formation energy: 132.5 kJ/mol of formula units
Distance to the lowest polymorph of the same formula: 10.836 kcal/mol of atoms
DOS(E_F): 4.6 states/eV per cell
Space group: C2/m (12)

---

3.
The following is a PBE calculation of a relaxed RbYC crystal, from the Alexandria database.

abc: 4.3277 4.3067 14.9802
angles: 83.40 86.51 128.60
Last column: nearest neighbours and their distance in Å.
Positions (direct):
Y  0.0841  0.6050  0.5058  3 C 2.33-2.50
Y  0.6657  0.7527  0.6728  3 C 2.32-2.50
C  0.3147  0.2756  0.5662  1 C 1.38
C  0.4354  0.0818  0.6122  1 C 1.38
Rb  0.6480  0.6474  0.2472  2 Rb 3.74
Rb  0.8565  0.3978  0.9316  2 Rb 3.74

Output
DFT formation energy: -3.5 kJ/mol of formula units
Distance to the lowest polymorph of the same formula: 0.000 kcal/mol of atoms
DOS(E_F): 3.9 states/eV per cell
Space group: P1 (1)

---

4.
The following is a PBE calculation of a relaxed RbYC crystal, from the Alexandria database.

abc: 8.2580 3.5933 6.8068
angles: 105.40 85.10 89.99
Last column: nearest neighbours and their distance in Å.
Positions (direct):
Rb  0.1770  0.0587  0.4435  3 C 3.09-3.32
Rb  0.8783  0.8034  0.9396  1 C 3.09
Y  0.4468  0.2910  0.9086  4 C 2.37-2.59
Y  0.5763  0.5351  0.3939  3 C 2.34-2.41
C  0.5317  0.9186  0.1617  4 Y 2.40-2.59
C  0.3942  0.6805  0.6886  3 Y 2.34-2.37

Output
DFT formation energy: 147.2 kJ/mol of formula units
Distance to the lowest polymorph of the same formula: 12.006 kcal/mol of atoms
DOS(E_F): 1.1 states/eV per cell
Space group: P1 (1)